Run one
The following is a SCAN calculation of a crystal of Al2FeAg relaxed with PBEsol, from the Alexandria database.

a b c (Å): 3.1831 4.1419 4.1419
angles (deg): 90.00 90.00 90.00
Last column: nearest neighbours and their distance in Å.
Fractional coordinates of all 4 atoms:
1 Al 0.0000 0.0000 0.5000  4 Fe 2.61, 4 Ag 2.61
2 Al 0.0000 0.5000 0.0000  4 Fe 2.61, 4 Ag 2.61
3 Ag 0.5000 0.0000 0.0000  8 Al 2.61
4 Fe 0.5000 0.5000 0.5000  8 Al 2.61

Properties
N(E_F): 2.1 states/eV per cell



Run two
The following is a SCAN calculation of a crystal of Al2FeAg relaxed with PBEsol, from the Alexandria database.

a b c (Å): 2.8666 2.8668 6.6048
angles (deg): 90.00 89.97 90.00
Last column: nearest neighbours and their distance in Å.
Fractional coordinates of all 4 atoms:
1 Fe 0.5000 0.5000 0.0000  8 Al 2.44
2 Al 0.9996 0.0000 0.2050  4 Fe 2.44, 1 Al 2.71
3 Al 0.0004 0.0000 0.7950  4 Fe 2.44, 1 Al 2.71
4 Ag 0.5000 0.5000 0.5000  8 Al 2.81, 4 Ag 2.87

Properties
N(E_F): 1.2 states/eV per cell



Run three
The following is a SCAN calculation of a crystal of Al2FeAg relaxed with PBEsol, from the Alexandria database.

a b c (Å): 5.4308 5.4793 5.4793
angles (deg): 75.78 60.29 60.29
Last column: nearest neighbours and their distance in Å.
Fractional coordinates of all 8 atoms:
1 Ag 0.0000 0.0000 0.0000  4 Al 2.56, 2 Fe 2.72
2 Ag 0.7500 0.5000 0.5000  4 Al 2.56, 2 Fe 2.72
3 Al 0.1433 0.9817 0.4817  2 Fe 2.39, 2 Ag 2.56
4 Al 0.8750 0.5183 0.9817  2 Fe 2.39, 2 Ag 2.56
5 Al 0.6067 0.0183 0.5183  2 Fe 2.39, 2 Ag 2.56
6 Al 0.3750 0.4817 0.0183  2 Fe 2.39, 2 Ag 2.56
7 Fe 0.2500 0.5000 0.5000  4 Al 2.39
8 Fe 0.5000 0.0000 0.0000  4 Al 2.39

Properties
N(E_F): 4.3 states/eV per cell



Run four
The following is a SCAN calculation of a crystal of Al2FeAg relaxed with PBEsol, from the Alexandria database.

a b c (Å): 2.7456 4.4320 4.9870
angles (deg): 100.16 90.00 108.04
Last column: nearest neighbours and their distance in Å.
Fractional coordinates of all 4 atoms:
1 Fe 0.0000 0.0000 0.5000  6 Al 2.54-2.63, 2 Fe 2.75, 4 Ag 2.85
2 Ag 0.5000 0.0000 0.0000  6 Al 2.66-2.72, 2 Ag 2.75, 4 Fe 2.85
3 Al 0.7419 0.4839 0.7265  3 Fe 2.54-2.63, 3 Ag 2.66-2.72, 4 Al 2.67-2.75
4 Al 0.2581 0.5161 0.2735  3 Fe 2.54-2.63, 3 Ag 2.66-2.72, 4 Al 2.67-2.75

Properties
N(E_F): 1.9 states/eV per cell



Most stable of them? run two.



Run one
The following is a SCAN calculation of a crystal of Al2FeAg relaxed with PBEsol, from the Alexandria database.

a b c (Å): 2.8712 4.4019 4.4019
angles (deg): 96.53 90.00 90.00
Last column: nearest neighbours and their distance in Å.
Fractional coordinates of all 4 atoms:
1 Ag 0.5000 0.5000 0.5000  8 Al 2.63, 2 Ag 2.87, 2 Fe 2.93
2 Fe 0.5000 0.0000 0.0000  8 Al 2.63, 2 Fe 2.87, 2 Ag 2.93
3 Al 0.0000 0.0000 0.5000  4 Ag 2.63, 4 Fe 2.63, 4 Al 2.87-2.93
4 Al 0.0000 0.5000 0.0000  4 Fe 2.63, 4 Ag 2.63, 4 Al 2.87-2.93

Properties
N(E_F): 1.6 states/eV per cell



Run two
The following is a SCAN calculation of a crystal of Al2FeAg relaxed with PBEsol, from the Alexandria database.

a b c (Å): 2.8318 3.7343 5.3745
angles (deg): 90.00 90.00 90.00
Last column: nearest neighbours and their distance in Å.
Fractional coordinates of all 4 atoms:
1 Al 0.0000 0.0000 0.9928  2 Fe 2.54-2.83, 4 Ag 2.66, 6 Al 2.81-2.83
2 Al 0.5000 0.5000 0.2812  4 Fe 2.54, 2 Ag 2.58-2.80, 6 Al 2.81-2.83
3 Ag 0.5000 0.5000 0.7605  6 Al 2.58-2.80, 4 Fe 2.83, 2 Ag 2.83
4 Fe 0.0000 0.0000 0.4655  6 Al 2.54-2.83, 4 Ag 2.83, 2 Fe 2.83

Properties
N(E_F): 1.9 states/eV per cell



Most stable of them? run one.



Run one
The following is a SCAN calculation of a crystal of La2AlAg2 relaxed with PBEsol, from the Alexandria database.

a b c (Å): 3.7609 3.7609 9.4535
angles (deg): 101.47 101.47 90.00
Last column: nearest neighbours and their distance in Å.
Fractional coordinates of all 5 atoms:
1 La 0.6047 0.6047 0.2093  4 Ag 3.24, 4 Al 3.27
2 La 0.3953 0.3953 0.7907  4 Ag 3.24, 4 Al 3.27
3 Ag 0.2500 0.7500 0.5000  4 Ag 2.66
4 Ag 0.7500 0.2500 0.5000  4 Ag 2.66
5 Al 0.0000 0.0000 0.0000  8 La 3.27

Properties
N(E_F): 3.2 states/eV per cell



Run two
The following is a SCAN calculation of a crystal of La2AlAg2 relaxed with PBEsol, from the Alexandria database.

a b c (Å): 4.2094 7.7077 7.7077
angles (deg): 90.00 90.00 90.00
Last column: nearest neighbours and their distance in Å.
Fractional coordinates of all 10 atoms:
1 Ag 0.0000 0.6279 0.1279  1 Ag 2.79, 2 La 2.99, 2 Al 3.03
2 Ag 0.0000 0.3721 0.8721  1 Ag 2.79, 2 La 2.99, 2 Al 3.03
3 Ag 0.0000 0.8721 0.6279  1 Ag 2.79, 2 La 2.99, 2 Al 3.03
4 Ag 0.0000 0.1279 0.3721  1 Ag 2.79, 2 La 2.99, 2 Al 3.03
5 Al 0.0000 0.0000 0.0000  4 Ag 3.03
6 Al 0.0000 0.5000 0.5000  4 Ag 3.03
7 La 0.5000 0.8229 0.3229  6 Ag 2.99-3.18
8 La 0.5000 0.1771 0.6771  6 Ag 2.99-3.18
9 La 0.5000 0.6771 0.8229  6 Ag 2.99-3.18
10 La 0.5000 0.3229 0.1771  6 Ag 2.99-3.18

Properties
N(E_F): 7.3 states/eV per cell



Most stable of them? run two.